Entry 1:
DFT (PBE) results for a relaxed structure of PmFeCu.

a = 7.561 Å, b = 7.561 Å, c = 7.561 Å
α = 148.89°, β = 148.89°, γ = 44.57°
Sites, in units of the cell vectors:
1 Pm 0.161 0.161 0.000
2 Pm 0.839 0.839 0.000
3 Fe 0.000 0.500 0.500
4 Fe 0.500 0.000 0.500
5 Cu 0.395 0.395 0.000
6 Cu 0.605 0.605 0.000

**Energy relative to the elements**: 0.080 eV/atom
**Symmetry**: I4/mmm

=====

Entry 2:
DFT (PBE) results for a relaxed structure of MgScB12.

a = 4.085 Å, b = 4.085 Å, c = 8.206 Å
α = 90.00°, β = 90.00°, γ = 90.00°
Sites, in units of the cell vectors:
1 Mg 0.000 0.000 0.000
2 Sc 0.000 0.000 0.500
3 B 0.200 0.500 0.251
4 B 0.200 0.500 0.749
5 B 0.500 0.200 0.251
6 B 0.500 0.200 0.749
7 B 0.500 0.500 0.101
8 B 0.500 0.500 0.401
9 B 0.500 0.500 0.599
10 B 0.500 0.500 0.899
11 B 0.500 0.800 0.251
12 B 0.500 0.800 0.749
13 B 0.800 0.500 0.251
14 B 0.800 0.500 0.749

**Energy relative to the elements**: -0.102 eV/atom
**Symmetry**: P4/mmm

=====

Entry 3:
DFT (PBE) results for a relaxed structure of BaHAuS2.

a = 5.860 Å, b = 5.860 Å, c = 6.341 Å
α = 90.00°, β = 90.00°, γ = 90.00°
Sites, in units of the cell vectors:
1 Ba 0.000 0.000 0.000
2 H 0.500 0.500 0.500
3 Au 0.000 0.000 0.500
4 S 0.000 0.500 0.000
5 S 0.500 0.000 0.000

**Symmetry**: P4/mmm
**Raw total energy**: -12.486 eV for the cell shown

=====

Entry 4:
DFT (PBE) results for a relaxed structure of LuHO.

a = 4.291 Å, b = 8.036 Å, c = 8.036 Å
α = 90.00°, β = 90.00°, γ = 90.00°
Sites, in units of the cell vectors:
1 Lu 0.250 0.081 0.389
2 Lu 0.250 0.112 0.888
3 Lu 0.250 0.580 0.804
4 Lu 0.250 0.613 0.305
5 Lu 0.750 0.305 0.613
6 Lu 0.750 0.389 0.081
7 Lu 0.750 0.804 0.580
8 Lu 0.750 0.888 0.112
9 H 0.000 0.345 0.345
10 H 0.000 0.346 0.847
11 H 0.000 0.847 0.346
12 H 0.000 0.847 0.847
13 H 0.500 0.345 0.345
14 H 0.500 0.346 0.847
15 H 0.500 0.847 0.346
16 H 0.500 0.847 0.847
17 O 0.250 0.206 0.627
18 O 0.250 0.493 0.064
19 O 0.250 0.703 0.565
20 O 0.250 0.990 0.128
21 O 0.750 0.064 0.493
22 O 0.750 0.128 0.990
23 O 0.750 0.565 0.703
24 O 0.750 0.627 0.206

**Symmetry**: Ama2
**Raw total energy**: -151.549 eV for the cell shown

=====

Entry 5:
DFT (PBE) results for a relaxed structure of PrTm5Hg2.

a = 8.181 Å, b = 8.181 Å, c = 8.181 Å
α = 153.77°, β = 104.53°, γ = 81.50°
Sites, in units of the cell vectors:
1 Pr 0.000 0.000 0.000
2 Tm 0.139 0.364 0.776
3 Tm 0.412 0.636 0.776
4 Tm 0.500 0.000 0.500
5 Tm 0.588 0.364 0.224
6 Tm 0.861 0.636 0.224
7 Hg 0.244 0.744 0.500
8 Hg 0.756 0.256 0.500

**Energy relative to the elements**: -0.174 eV/atom
**Symmetry**: Immm

=====

Entry 6:
DFT (PBE) results for a relaxed structure of Be4Te3.

a = 6.692 Å, b = 6.692 Å, c = 3.895 Å
α = 90.00°, β = 90.00°, γ = 120.00°
Sites, in units of the cell vectors:
1 Be 0.000 0.000 0.248
2 Be 0.000 0.000 0.752
3 Be 0.333 0.667 0.500
4 Be 0.667 0.333 0.500
5 Te 0.000 0.500 0.000
6 Te 0.500 0.000 0.000
7 Te 0.500 0.500 0.000

**Symmetry**: P6/mmm
**Raw formation energy**: 0.850 eV/atom

=====

Entry 7:
DFT (PBE) results for a relaxed structure of La5In2Pb.

a = 9.217 Å, b = 9.217 Å, c = 9.217 Å
α = 122.43°, β = 122.43°, γ = 85.84°
Sites, in units of the cell vectors:
1 La 0.000 0.000 0.000
2 La 0.015 0.515 0.836
3 La 0.178 0.015 0.500
4 La 0.322 0.822 0.836
5 La 0.485 0.322 0.500
6 La 0.500 0.500 0.000
7 La 0.515 0.678 0.500
8 La 0.678 0.178 0.164
9 La 0.822 0.985 0.500
10 La 0.985 0.485 0.164
11 In 0.128 0.372 0.500
12 In 0.372 0.872 0.244
13 In 0.628 0.128 0.756
14 In 0.872 0.628 0.500
15 Pb 0.250 0.250 0.000
16 Pb 0.750 0.750 0.000

**Energy relative to the elements**: -0.455 eV/atom
**Symmetry**: I4/mcm

=====

Entry 8:
DFT (PBE) results for a relaxed structure of Sr2CoW.

a = 4.418 Å, b = 4.470 Å, c = 4.829 Å
α = 90.00°, β = 90.00°, γ = 90.00°
Sites, in units of the cell vectors:
1 Sr 0.000 0.000 0.000
2 Sr 0.500 0.500 0.000
3 Co 0.000 0.500 0.500
4 W 0.500 0.000 0.500

**Energy relative to the elements**: 1.389 eV/atom
**Symmetry**: Pmmm

=====

Entry 9:
DFT (PBE) results for a relaxed structure of Pm8Co3IrBr4.

a = 9.037 Å, b = 9.037 Å, c = 9.037 Å
α = 52.72°, β = 52.72°, γ = 52.72°
Sites, in units of the cell vectors:
1 Pm 0.223 0.735 0.735
2 Pm 0.230 0.230 0.230
3 Pm 0.265 0.265 0.777
4 Pm 0.265 0.777 0.265
5 Pm 0.735 0.223 0.735
6 Pm 0.735 0.735 0.223
7 Pm 0.770 0.770 0.770
8 Pm 0.777 0.265 0.265
9 Co 0.000 0.000 0.500
10 Co 0.000 0.500 0.000
11 Co 0.500 0.000 0.000
12 Ir 0.500 0.500 0.500
13 Br 0.000 0.000 0.000
14 Br 0.000 0.500 0.500
15 Br 0.500 0.000 0.500
16 Br 0.500 0.500 0.000

**Symmetry**: R-3m
**Raw formation energy**: -0.820 eV/atom

=====

Entry 10:
DFT (PBE) results for a relaxed structure of Tb5Ho12Tm2.

a = 8.963 Å, b = 8.963 Å, c = 8.527 Å
α = 91.83°, β = 91.83°, γ = 61.56°
Sites, in units of the cell vectors:
1 Tb 0.000 0.000 0.000
2 Tb 0.231 0.231 0.071
3 Tb 0.294 0.294 0.478
4 Tb 0.706 0.706 0.522
5 Tb 0.769 0.769 0.929
6 Ho 0.031 0.671 0.261
7 Ho 0.074 0.074 0.374
8 Ho 0.178 0.562 0.829
9 Ho 0.329 0.969 0.739
10 Ho 0.438 0.822 0.171
11 Ho 0.443 0.443 0.163
12 Ho 0.557 0.557 0.837
13 Ho 0.562 0.178 0.829
14 Ho 0.671 0.031 0.261
15 Ho 0.822 0.438 0.171
16 Ho 0.926 0.926 0.626
17 Ho 0.969 0.329 0.739
18 Tm 0.328 0.672 0.500
19 Tm 0.672 0.328 0.500

**Energy relative to the elements**: 0.124 eV/atom
**Symmetry**: C2/m

=====

Entry 11:
DFT (PBE) results for a relaxed structure of Rb2MgTlBr6.

a = 7.808 Å, b = 8.018 Å, c = 13.641 Å
α = 90.00°, β = 124.82°, γ = 90.00°
Sites, in units of the cell vectors:
1 Rb 0.232 0.062 0.249
2 Rb 0.232 0.438 0.749
3 Rb 0.768 0.562 0.251
4 Rb 0.768 0.938 0.751
5 Mg 0.000 0.000 0.500
6 Mg 0.000 0.500 0.000
7 Tl 0.500 0.000 0.000
8 Tl 0.500 0.500 0.500
9 Br 0.153 0.220 0.961
10 Br 0.153 0.280 0.461
11 Br 0.245 0.690 0.963
12 Br 0.245 0.810 0.463
13 Br 0.310 0.007 0.736
14 Br 0.310 0.493 0.236
15 Br 0.690 0.507 0.764
16 Br 0.690 0.993 0.264
17 Br 0.755 0.190 0.537
18 Br 0.755 0.310 0.037
19 Br 0.847 0.720 0.539
20 Br 0.847 0.780 0.039

**Symmetry**: P2_1/c
**Raw formation energy**: -1.292 eV/atom

=====

Entry 12:
DFT (PBE) results for a relaxed structure of CaVBi3.

a = 5.749 Å, b = 5.749 Å, c = 5.749 Å
α = 90.00°, β = 90.00°, γ = 90.00°
Sites, in units of the cell vectors:
1 Ca 0.000 0.000 0.000
2 V 0.500 0.500 0.500
3 Bi 0.000 0.000 0.500
4 Bi 0.000 0.500 0.000
5 Bi 0.500 0.000 0.000

**Energy relative to the elements**: 0.992 eV/atom
**Symmetry**: Pm-3m

=====

Entry 13:
DFT (PBE) results for a relaxed structure of P3Cl.

a = 4.665 Å, b = 4.665 Å, c = 2.960 Å
α = 90.00°, β = 90.00°, γ = 90.00°
Sites, in units of the cell vectors:
1 P 0.000 0.000 0.000
2 P 0.000 0.500 0.500
3 P 0.500 0.000 0.500
4 Cl 0.500 0.500 0.000

**Symmetry**: P4/mmm
**Raw formation energy**: 0.908 eV/atom

=====

Entry 14:
DFT (PBE) results for a relaxed structure of Er3Ni2Rh.

a = 3.335 Å, b = 3.335 Å, c = 10.260 Å
α = 90.00°, β = 90.00°, γ = 90.00°
Sites, in units of the cell vectors:
1 Er 0.000 0.000 0.000
2 Er 0.000 0.000 0.331
3 Er 0.000 0.000 0.669
4 Ni 0.500 0.500 0.164
5 Ni 0.500 0.500 0.836
6 Rh 0.500 0.500 0.500

**Energy relative to the elements**: -0.597 eV/atom
**Symmetry**: P4/mmm

=====

Entry 15:
DFT (PBE) results for a relaxed structure of UCdBi4.

a = 8.318 Å, b = 8.318 Å, c = 3.162 Å
α = 90.00°, β = 90.00°, γ = 90.27°
Sites, in units of the cell vectors:
1 U 0.000 0.000 0.000
2 Cd 0.500 0.500 0.500
3 Bi 0.237 0.763 0.500
4 Bi 0.268 0.268 0.000
5 Bi 0.732 0.732 0.000
6 Bi 0.763 0.237 0.500

**Energy relative to the elements**: 0.379 eV/atom
**Symmetry**: Cmmm

=====

Entry 16:
DFT (PBE) results for a relaxed structure of TmTcN2.

a = 5.754 Å, b = 5.754 Å, c = 5.754 Å
α = 31.97°, β = 31.97°, γ = 31.97°
Sites, in units of the cell vectors:
1 Tm 0.000 0.000 0.000
2 Tc 0.823 0.823 0.823
3 N 0.423 0.423 0.423
4 N 0.581 0.581 0.581

**Symmetry**: R3m
**Raw formation energy**: -0.481 eV/atom

=====

Entry 17:
DFT (PBE) results for a relaxed structure of Ce2PrOsN5.

a = 7.503 Å, b = 7.503 Å, c = 7.503 Å
α = 127.40°, β = 127.40°, γ = 77.60°
Sites, in units of the cell vectors:
1 Ce 0.178 0.678 0.856
2 Ce 0.322 0.178 0.500
3 Ce 0.678 0.822 0.500
4 Ce 0.822 0.322 0.144
5 Pr 0.250 0.250 0.000
6 Pr 0.750 0.750 0.000
7 Os 0.250 0.750 0.500
8 Os 0.750 0.250 0.500
9 N 0.000 0.000 0.000
10 N 0.009 0.214 0.500
11 N 0.214 0.714 0.205
12 N 0.286 0.491 0.500
13 N 0.491 0.991 0.205
14 N 0.500 0.500 0.000
15 N 0.509 0.009 0.795
16 N 0.714 0.509 0.500
17 N 0.786 0.286 0.795
18 N 0.991 0.786 0.500

**Symmetry**: I4/mcm
**Raw formation energy**: -0.924 eV/atom

=====

Entry 18:
DFT (PBE) results for a relaxed structure of Li2ErGeSe4.

a = 6.831 Å, b = 3.917 Å, c = 6.891 Å
α = 90.00°, β = 109.55°, γ = 90.00°
Sites, in units of the cell vectors:
1 Li 0.000 0.000 0.000
2 Li 0.000 0.500 0.500
3 Er 0.500 0.000 0.500
4 Ge 0.500 0.500 0.000
5 Se 0.250 0.500 0.239
6 Se 0.254 0.000 0.760
7 Se 0.746 0.000 0.240
8 Se 0.750 0.500 0.761

**Symmetry**: P2/m
**Raw formation energy**: -1.106 eV/atom

=====

Entry 19:
DFT (PBE) results for a relaxed structure of CaLaBr2.

a = 3.804 Å, b = 4.838 Å, c = 7.048 Å
α = 90.00°, β = 90.00°, γ = 90.00°
Sites, in units of the cell vectors:
1 Ca 0.000 0.000 0.000
2 La 0.500 0.000 0.500
3 Br 0.000 0.500 0.500
4 Br 0.500 0.500 0.000

**Symmetry**: Pmmm
**Raw formation energy**: -1.160 eV/atom

=====

What did we get for Fermi-level density of states? Answer: 3.91 1.18 8.98 0.00 9.40 4.22 8.63 4.34 4.84 25.84 4.85 8.82 1.90 3.75 6.30 3.47 7.42 1.61 3.03 states/eV/f.u., in the order shown.